(1)
LiAl2Te4Pb: relaxed, PBE.

a b c (Å): 6.570 6.570 7.810
angles (deg): 111.48 111.48 97.44
Sites, in units of the cell vectors:
Li  0.500  0.500  0.999
Al  0.759  0.259  0.519
Al  0.259  0.759  0.519
Te  0.583  0.583  0.703
Te  0.413  0.855  0.269
Te  0.855  0.413  0.269
Te  0.120  0.120  0.703
Pb  0.010  0.010  0.020

Summary:
Space group ... Fmm2, No. 42
Energy relative to the elements, uncorrected ... -3.08 eV per formula unit

(2)
LiAlTlPb: relaxed, PBE.

a b c (Å): 5.137 5.137 5.137
angles (deg): 60.00 60.00 60.00
Sites, in units of the cell vectors:
Pb  0.750  0.750  0.750
Tl  0.250  0.250  0.250
Al  0.500  0.500  0.500
Li  0.000  0.000  0.000

Summary:
Space group ... F-43m, No. 216
Calculated formation energy ... 0.017 eV per atom

no.,E (eV per atom),calculated density (Mg/m³),V (Å³ per atom)
1,-3.59,4.649,34.76
2,-2.92,7.718,23.96